Entry 1:
Entry from the Alexandria database: a geometry-optimized Pa3Ni2Ge4 structure (PBE).

Cell and atoms, written as POSCAR:
```
Pa3Ni2Ge4
1.0
5.2819 -2.1115 0.0000
5.2819 2.1115 0.0000
-3.2698 0.0000 7.6028
Pa Ni Ge
3 2 4
direct
0.0000 0.0000 0.0000 Pa
0.3786 0.3786 0.3326 Pa
0.6214 0.6214 0.6674 Pa
0.3250 0.3250 0.6783 Ni
0.6750 0.6750 0.3217 Ni
0.1061 0.1061 0.3977 Ge
0.2807 0.2807 0.9358 Ge
0.7193 0.7193 0.0642 Ge
0.8939 0.8939 0.6023 Ge
```

The calculation puts the total energy at -7.033 eV per atom. For the volume, the calculation gives 18.8 A^3/atom. As for the space group: C2/m (12). As for the formation energy: -531 meV/atom. Its density of states at the Fermi level is 1.246 states/eV per atom. The relative energy among the computed polymorphs is 24 meV/atom.


Entry 2:
Entry from the Alexandria database: a geometry-optimized Pa2Ni2Ge structure (PBE).

Cell and atoms, written as POSCAR:
```
Pa2Ni2Ge
1.0
4.0721 0.0000 0.0000
0.0000 5.5395 0.0000
0.0000 0.0000 8.0299
Pa Ni Ge
4 4 2
direct
0.0000 0.0000 0.2050 Pa
0.0000 0.0000 0.7950 Pa
0.5000 0.5000 0.2950 Pa
0.5000 0.5000 0.7050 Pa
0.0000 0.2775 0.5000 Ni
0.0000 0.7225 0.5000 Ni
0.5000 0.2225 0.0000 Ni
0.5000 0.7775 0.0000 Ni
0.0000 0.5000 0.0000 Ge
0.5000 0.0000 0.5000 Ge
```

The calculation puts the total energy at -7.497 eV per atom. For the volume, the calculation gives 18.1 A^3/atom. As for the space group: Immm (71). As for the formation energy: -463 meV/atom. Its density of states at the Fermi level is 1.194 states/eV per atom.


Entry 3:
Entry from the Alexandria database: a geometry-optimized PaNi3Ge structure (PBE).

Cell and atoms, written as POSCAR:
```
PaNi3Ge
1.0
1.9699 -11.1762 0.0000
1.9699 11.1762 0.0000
0.0000 0.0000 3.6381
Pa Ni Ge
2 6 2
direct
0.1736 0.8264 0.0000 Pa
0.8264 0.1736 0.0000 Pa
0.0539 0.9461 0.5000 Ni
0.2820 0.7180 0.5000 Ni
0.4489 0.5511 0.0000 Ni
0.5511 0.4489 0.0000 Ni
0.7180 0.2820 0.5000 Ni
0.9461 0.0539 0.5000 Ni
0.3888 0.6112 0.5000 Ge
0.6112 0.3888 0.5000 Ge
```

The calculation puts the total energy at -6.480 eV per atom. For the volume, the calculation gives 16.0 A^3/atom. As for the space group: Cmmm (65). As for the formation energy: -188 meV/atom. Its density of states at the Fermi level is 1.168 states/eV per atom. The relative energy among the computed polymorphs is 189 meV/atom.


Entry 4:
Entry from the Alexandria database: a geometry-optimized Pa3Ni4Ge4 structure (PBE).

Cell and atoms, written as POSCAR:
```
Pa3Ni4Ge4
1.0
-1.9307 2.0543 12.1074
1.9307 -2.0543 12.1074
1.9307 2.0543 -12.1074
Pa Ni Ge
3 4 4
direct
0.0000 0.0000 0.0000 Pa
0.3550 0.8550 0.5000 Pa
0.6450 0.1450 0.5000 Pa
0.1942 0.6942 0.5000 Ni
0.4505 0.4505 0.0000 Ni
0.5495 0.5495 0.0000 Ni
0.8058 0.3058 0.5000 Ni
0.0977 0.5977 0.5000 Ge
0.2521 0.2521 0.0000 Ge
0.7479 0.7479 0.0000 Ge
0.9023 0.4023 0.5000 Ge
```

The calculation puts the total energy at -6.928 eV per atom. For the volume, the calculation gives 17.5 A^3/atom. As for the space group: Immm (71). As for the formation energy: -557 meV/atom. Its density of states at the Fermi level is 0.751 states/eV per atom. The relative energy among the computed polymorphs is 44 meV/atom.


Entry 5:
Entry from the Alexandria database: a geometry-optimized Pa2Ni3Ge5 structure (PBE).

Cell and atoms, written as POSCAR:
```
Pa2Ni3Ge5
1.0
-4.7790 5.8584 2.9960
4.7790 -5.8584 2.9960
4.7790 5.8584 -2.9960
Pa Ni Ge
4 6 10
direct
0.1340 0.2294 0.3634 Pa
0.3660 0.7294 0.0954 Pa
0.6340 0.2706 0.9046 Pa
0.8660 0.7706 0.6366 Pa
0.1431 0.8970 0.0401 Ni
0.2500 0.7500 0.5000 Ni
0.3569 0.3970 0.7539 Ni
0.6431 0.6030 0.2461 Ni
0.7500 0.2500 0.5000 Ni
0.8569 0.1030 0.9599 Ni
0.0265 0.7500 0.2765 Ge
0.0964 0.6620 0.7585 Ge
0.2500 0.2500 0.0000 Ge
0.4036 0.1620 0.5656 Ge
0.4735 0.7500 0.7235 Ge
0.5265 0.2500 0.2765 Ge
0.5964 0.8380 0.4344 Ge
0.7500 0.7500 0.0000 Ge
0.9036 0.3380 0.2415 Ge
0.9735 0.2500 0.7235 Ge
```

The calculation puts the total energy at -6.422 eV per atom. For the volume, the calculation gives 16.8 A^3/atom. As for the space group: Ibam (72). As for the formation energy: -480 meV/atom. Its density of states at the Fermi level is 0.948 states/eV per atom. The relative energy among the computed polymorphs is 0 meV/atom.


Entry 6:
Entry from the Alexandria database: a geometry-optimized Pa2Ni2Ge3 structure (PBE).

Cell and atoms, written as POSCAR:
```
Pa2Ni2Ge3
1.0
4.0077 0.0000 0.0000
0.0000 4.6079 0.0000
0.0000 0.0000 15.3283
Pa Ni Ge
4 4 6
direct
0.0000 0.0000 0.1504 Pa
0.0000 0.0000 0.8496 Pa
0.5000 0.5000 0.3496 Pa
0.5000 0.5000 0.6504 Pa
0.0000 0.5000 0.0725 Ni
0.0000 0.5000 0.9275 Ni
0.5000 0.0000 0.4275 Ni
0.5000 0.0000 0.5725 Ni
0.0000 0.0000 0.3430 Ge
0.0000 0.0000 0.6570 Ge
0.0000 0.5000 0.5000 Ge
0.5000 0.0000 0.0000 Ge
0.5000 0.5000 0.1570 Ge
0.5000 0.5000 0.8430 Ge
```

The calculation puts the total energy at -6.579 eV per atom. For the volume, the calculation gives 20.2 A^3/atom. As for the space group: Immm (71). As for the formation energy: -235 meV/atom. Its density of states at the Fermi level is 0.972 states/eV per atom. The relative energy among the computed polymorphs is 298 meV/atom.